Entry 1:
This record from the Alexandria database describes MnCuP2O8 after structural relaxation. The functional is PBEsol.

Summary:
uncorrected formation energy = -20.5 eV per formula unit

Unit cell a=8.319 b=8.319 c=8.319 alpha=60.45 beta=60.45 gamma=60.45
Each line ends with the local moment (μB).
Positions (direct):
O1 0.024 0.620 0.799  0.10
O2 0.799 0.024 0.620  0.10
O3 0.372 0.196 0.992  0.06
O4 0.248 0.416 0.594  0.04
O5 0.115 0.485 0.336  0.08
O6 0.756 0.562 0.414  0.02
O7 0.620 0.799 0.024  0.10
O8 0.562 0.414 0.756  0.02
O9 0.875 0.499 0.689  0.06
O10 0.731 0.082 0.965  0.13
O11 0.082 0.965 0.731  0.13
O12 0.336 0.115 0.485  0.08
O13 0.262 0.927 0.041  0.04
O14 0.499 0.689 0.875  0.06
O15 0.485 0.336 0.115  0.08
O16 0.689 0.875 0.499  0.06
O17 0.416 0.594 0.248  0.04
O18 0.414 0.756 0.562  0.02
O19 0.041 0.262 0.927  0.04
O20 0.992 0.372 0.196  0.06
O21 0.594 0.248 0.416  0.04
O22 0.965 0.731 0.082  0.13
O23 0.196 0.992 0.372  0.06
O24 0.927 0.041 0.262  0.04
Mn1 0.359 0.359 0.359  2.62
Mn2 0.640 0.640 0.640  2.62
Mn3 0.140 0.140 0.140  2.65
P1 0.752 0.040 0.460  0.01
P2 0.252 0.962 0.537  0.01
P3 0.537 0.252 0.962  0.01
P4 0.040 0.460 0.752  0.01
P5 0.962 0.537 0.252  0.01
P6 0.460 0.752 0.040  0.01
Cu1 0.999 0.999 0.999  0.58
Cu2 0.498 0.498 0.498  0.49
Cu3 0.859 0.859 0.859  0.88

=====

Entry 2:
This record from the Alexandria database describes Mn7CuP12O48 after structural relaxation. The functional is PBEsol.

Summary:
uncorrected formation energy = -121.0 eV per formula unit

Unit cell a=8.079 b=8.353 c=11.352 alpha=89.83 beta=89.28 gamma=90.13
Each line ends with the local moment (μB).
Positions (direct):
O1 0.741 0.442 0.450  0.03
O2 0.865 0.004 0.242  0.00
O3 0.815 0.830 0.436  -0.01
O4 0.429 0.071 0.685  0.01
O5 0.639 0.069 0.520  0.02
O6 0.268 0.568 0.544  0.01
O7 0.273 0.976 0.274  -0.01
O8 0.914 0.634 0.591  0.01
O9 0.227 0.476 0.225  -0.01
O10 0.880 0.802 0.836  0.01
O11 0.935 0.317 0.616  0.05
O12 0.768 0.517 0.783  0.04
O13 0.840 0.715 0.185  -0.01
O14 0.120 0.197 0.164  0.00
O15 0.094 0.370 0.417  0.01
O16 0.631 0.500 0.253  0.02
O17 0.131 0.998 0.756  0.03
O18 0.431 0.390 0.400  0.00
O19 0.332 0.783 0.685  0.01
O20 0.065 0.876 0.559  -0.01
O21 0.766 0.926 0.043  -0.02
O22 0.604 0.303 0.660  0.03
O23 0.433 0.178 0.114  -0.01
O24 0.234 0.071 0.956  0.00
O25 0.570 0.628 0.059  0.02
O26 0.594 0.127 0.919  0.02
O27 0.729 0.028 0.726  0.00
O28 0.686 0.334 0.060  0.00
O29 0.927 0.422 0.184  0.01
O30 0.572 0.626 0.603  0.05
O31 0.407 0.872 0.081  0.03
O32 0.184 0.168 0.563  0.01
O33 0.073 0.579 0.816  0.00
O34 0.071 0.890 0.100  0.01
O35 0.380 0.698 0.336  0.00
O36 0.573 0.922 0.316  0.00
O37 0.431 0.372 0.940  0.01
O38 0.930 0.109 0.901  0.00
O39 0.661 0.216 0.318  -0.01
O40 0.368 0.498 0.744  0.01
O41 0.935 0.124 0.438  0.01
O42 0.567 0.824 0.885  0.00
O43 0.134 0.424 0.018  0.00
O44 0.160 0.284 0.815  -0.01
O45 0.068 0.675 0.388  -0.01
O46 0.315 0.666 0.939  0.00
O47 0.867 0.577 0.982  0.00
O48 0.363 0.926 0.481  0.03
P1 0.106 0.381 0.148  0.01
P2 0.889 0.884 0.142  0.01
P3 0.607 0.119 0.647  0.01
P4 0.613 0.385 0.359  0.01
P5 0.031 0.248 0.509  0.01
P6 0.893 0.618 0.851  0.01
P7 0.966 0.748 0.491  0.01
P8 0.467 0.750 0.989  0.01
P9 0.394 0.881 0.352  0.01
P10 0.533 0.251 0.009  0.01
P11 0.111 0.116 0.858  0.01
P12 0.390 0.617 0.642  0.01
Mn1 0.749 0.029 0.380  2.29
Mn2 0.250 0.969 0.619  2.27
Mn3 0.255 0.031 0.115  2.43
Mn4 0.746 0.969 0.884  2.40
Mn5 0.246 0.530 0.386  2.45
Mn6 0.753 0.531 0.119  2.23
Mn7 0.248 0.470 0.880  2.27
Cu1 0.753 0.469 0.615  0.34

=====

Entry 3:
This record from the Alexandria database describes Sr3Pr3Mn2Cu2O13 after structural relaxation. The functional is PBEsol.

Summary:
uncorrected formation energy = -55.4 eV per formula unit

Unit cell a=5.397 b=5.399 c=10.263 alpha=90.00 beta=105.25 gamma=90.00
Each line ends with the local moment (μB).
Positions (direct):
O1 0.153 0.245 0.806  0.04
O2 0.850 0.250 0.188  0.06
O3 0.153 0.755 0.806  0.04
O4 0.807 0.000 0.614  -0.01
O5 0.000 0.000 0.999  0.09
O6 0.654 0.755 0.806  0.04
O7 0.850 0.750 0.188  0.06
O8 0.654 0.245 0.806  0.04
O9 0.197 0.000 0.394  -0.01
O10 0.708 0.500 0.416  0.01
O11 0.338 0.750 0.188  0.06
O12 0.338 0.250 0.188  0.06
O13 0.293 0.500 0.586  0.00
Cu1 0.405 0.500 0.809  0.08
Cu2 0.598 0.500 0.196  0.17
Sr1 0.001 0.500 0.002  0.01
Sr2 0.681 0.000 0.363  0.00
Sr3 0.503 0.000 0.006  0.01
Pr1 0.320 0.000 0.641  0.01
Pr2 0.821 0.500 0.643  0.01
Pr3 0.177 0.500 0.354  0.01
Mn1 0.906 0.000 0.812  2.71
Mn2 0.095 0.000 0.190  2.72

=====

Entry 4:
This record from the Alexandria database describes Sr3Mn2Cu2S2O5 after structural relaxation. The functional is PBEsol.

Summary:
uncorrected formation energy = -25.6 eV per formula unit

Unit cell a=3.867 b=3.867 c=13.311 alpha=98.35 beta=98.35 gamma=90.00
Each line ends with the local moment (μB).
Positions (direct):
Cu1 0.750 0.250 0.500  0.01
Cu2 0.250 0.750 0.500  0.01
O1 0.000 0.000 0.000  0.12
O2 0.419 0.919 0.838  0.07
O3 0.581 0.081 0.162  0.07
O4 0.081 0.581 0.162  0.07
O5 0.919 0.419 0.838  0.07
Sr1 0.358 0.358 0.716  0.01
Sr2 0.500 0.500 0.000  0.01
Sr3 0.642 0.642 0.284  0.01
S1 0.197 0.197 0.394  0.01
S2 0.803 0.803 0.606  0.01
Mn1 0.926 0.926 0.853  3.56
Mn2 0.074 0.074 0.147  3.56

=====

Entry 5:
This record from the Alexandria database describes MnCuSe2O6 after structural relaxation. The functional is PBEsol.

Summary:
uncorrected formation energy = -8.8 eV per formula unit

Unit cell a=5.360 b=5.590 c=8.249 alpha=90.00 beta=84.69 gamma=90.00
Each line ends with the local moment (μB).
Positions (direct):
O1 0.697 0.381 0.311  0.01
O2 0.599 0.217 0.608  0.01
O3 0.146 0.292 0.431  0.05
O4 0.197 0.119 0.811  0.01
O5 0.354 0.792 0.069  0.05
O6 0.401 0.783 0.392  0.01
O7 0.803 0.881 0.189  0.01
O8 0.854 0.708 0.569  0.05
O9 0.099 0.283 0.108  0.01
O10 0.901 0.717 0.892  0.01
O11 0.646 0.208 0.931  0.05
O12 0.303 0.619 0.689  0.01
Se1 0.488 0.956 0.222  0.03
Se2 0.988 0.544 0.722  0.03
Se3 0.512 0.044 0.778  0.03
Se4 0.012 0.456 0.278  0.03
Cu1 0.000 0.000 0.500  -0.04
Cu2 0.500 0.500 0.000  -0.04
Mn1 0.000 0.000 0.000  3.61
Mn2 0.500 0.500 0.500  3.61

=====

Entry 6:
This record from the Alexandria database describes Sr4Mn2Cu3Se4O4 after structural relaxation. The functional is PBEsol.

Summary:
uncorrected formation energy = -26.9 eV per formula unit

Unit cell a=5.676 b=5.675 c=9.264 alpha=90.00 beta=107.84 gamma=90.00
Each line ends with the local moment (μB).
Positions (direct):
O1 0.250 0.000 0.501  0.07
O2 0.750 0.000 0.499  0.07
O3 0.249 0.500 0.497  0.07
O4 0.751 0.500 0.503  0.07
Se1 0.328 0.247 0.161  0.05
Se2 0.167 0.753 0.839  0.05
Se3 0.672 0.247 0.839  0.05
Se4 0.833 0.753 0.161  0.05
Sr1 0.405 0.749 0.308  0.00
Sr2 0.595 0.749 0.692  0.00
Sr3 0.903 0.251 0.308  0.00
Sr4 0.097 0.251 0.692  0.00
Mn1 0.000 0.750 0.500  3.91
Mn2 0.500 0.250 0.500  3.91
Cu1 0.500 0.000 0.000  0.03
Cu2 0.000 0.500 0.000  0.03
Cu3 0.500 0.500 0.000  0.03

=====

Entry 7:
This record from the Alexandria database describes SmMn4Cu3O12 after structural relaxation. The functional is PBEsol.

Summary:
uncorrected formation energy = -32.5 eV per formula unit

Unit cell a=6.230 b=6.230 c=6.230 alpha=109.47 beta=109.47 gamma=109.47
Each line ends with the local moment (μB).
Positions (direct):
O1 0.822 0.122 0.300  0.00
O2 0.878 0.700 0.178  0.00
O3 0.300 0.822 0.122  0.00
O4 0.122 0.300 0.822  0.00
O5 0.822 0.522 0.700  0.00
O6 0.178 0.878 0.700  0.00
O7 0.478 0.300 0.178  0.00
O8 0.700 0.822 0.522  0.00
O9 0.178 0.478 0.300  0.00
O10 0.700 0.178 0.878  0.00
O11 0.522 0.700 0.822  0.00
O12 0.300 0.178 0.478  0.00
Sm1 0.000 0.000 0.000  0.01
Cu1 0.500 0.000 0.500  -0.36
Cu2 0.000 0.500 0.500  -0.36
Cu3 0.500 0.500 0.000  -0.36
Mn1 0.000 0.000 0.500  2.58
Mn2 0.000 0.500 0.000  2.58
Mn3 0.500 0.000 0.000  2.58
Mn4 0.500 0.500 0.500  2.58

=====

Entry 8:
This record from the Alexandria database describes Sr4Mn2CuO9 after structural relaxation. The functional is PBEsol.

Summary:
uncorrected formation energy = -36.1 eV per formula unit

Unit cell a=7.771 b=9.526 c=9.522 alpha=60.25 beta=89.97 gamma=89.85
Each line ends with the local moment (μB).
Positions (direct):
O1 0.001 0.850 0.996  0.02
O2 0.757 0.342 0.178  0.02
O3 0.278 0.166 0.011  0.09
O4 0.069 0.324 0.494  0.14
O5 0.693 0.992 0.846  0.13
O6 0.550 0.679 0.816  0.12
O7 0.932 0.509 0.673  0.14
O8 0.722 0.178 0.991  0.09
O9 0.547 0.498 0.683  0.12
O10 0.475 0.510 0.175  0.09
O11 0.035 0.509 0.172  0.09
O12 0.760 0.168 0.484  0.01
O13 0.242 0.645 0.521  0.02
O14 0.998 0.996 0.152  0.02
O15 0.451 0.184 0.321  0.12
O16 0.758 0.477 0.358  0.02
O17 0.241 0.520 0.829  0.02
O18 0.452 0.317 0.502  0.12
O19 0.243 0.826 0.656  0.02
O20 0.070 0.189 0.319  0.14
O21 0.305 0.836 0.155  0.13
O22 0.311 0.004 0.841  0.14
O23 0.525 0.825 0.489  0.08
O24 0.002 0.149 0.843  0.01
O25 0.692 0.848 0.160  0.13
O26 0.929 0.685 0.807  0.14
O27 0.965 0.831 0.487  0.10
Mn1 0.593 0.338 0.331  2.63
Mn2 0.926 0.338 0.331  2.62
Mn3 0.073 0.673 0.658  2.62
Mn4 0.165 0.003 0.999  2.64
Mn5 0.835 0.006 0.999  2.64
Mn6 0.406 0.669 0.663  2.64
Sr1 0.495 0.350 0.007  0.01
Sr2 0.757 0.661 0.031  0.00
Sr3 0.002 0.323 0.005  0.01
Sr4 0.506 0.994 0.640  0.00
Sr5 0.997 0.995 0.673  0.01
Sr6 0.501 0.638 0.363  0.00
Sr7 0.749 0.019 0.313  0.01
Sr8 0.749 0.303 0.669  0.01
Sr9 0.250 0.333 0.698  0.01
Sr10 0.001 0.670 0.328  0.01
Sr11 0.246 0.681 0.982  0.01
Sr12 0.248 0.971 0.333  0.00
Cu1 0.259 0.272 0.393  0.56
Cu2 0.500 0.938 0.001  0.58
Cu3 0.740 0.608 0.727  0.56

=====

Entry 9:
This record from the Alexandria database describes Mn5Cu3Te16O40 after structural relaxation. The functional is PBEsol.

Summary:
uncorrected formation energy = -66.9 eV per formula unit

Unit cell a=8.679 b=8.679 c=12.758 alpha=90.00 beta=90.00 gamma=89.96
Each line ends with the local moment (μB).
Positions (direct):
Te1 0.289 0.823 0.633  0.01
Te2 0.320 0.794 0.134  0.02
Te3 0.180 0.287 0.134  0.01
Te4 0.211 0.321 0.633  0.01
Te5 0.823 0.289 0.367  0.01
Te6 0.679 0.789 0.367  0.01
Te7 0.206 0.680 0.866  0.02
Te8 0.713 0.820 0.866  0.01
Te9 0.177 0.711 0.367  0.01
Te10 0.711 0.177 0.633  0.01
Te11 0.794 0.320 0.866  0.02
Te12 0.789 0.679 0.633  0.01
Te13 0.820 0.713 0.134  0.01
Te14 0.287 0.180 0.866  0.01
Te15 0.680 0.206 0.134  0.02
Te16 0.321 0.211 0.367  0.01
O1 0.373 0.726 0.296  0.03
O2 0.701 0.299 0.500  0.01
O3 0.877 0.235 0.200  0.02
O4 0.629 0.421 0.110  0.03
O5 0.875 0.769 0.298  0.03
O6 0.640 0.574 0.385  0.08
O7 0.371 0.579 0.110  0.03
O8 0.765 0.123 0.800  0.02
O9 0.200 0.200 0.500  0.01
O10 0.800 0.800 0.500  0.01
O11 0.627 0.274 0.296  0.03
O12 0.306 0.306 0.000  0.04
O13 0.624 0.731 0.202  0.03
O14 0.202 0.798 0.000  0.02
O15 0.857 0.927 0.114  0.07
O16 0.376 0.269 0.202  0.03
O17 0.726 0.373 0.704  0.03
O18 0.274 0.627 0.704  0.03
O19 0.579 0.371 0.890  0.03
O20 0.360 0.426 0.385  0.08
O21 0.769 0.875 0.702  0.03
O22 0.073 0.143 0.886  0.07
O23 0.860 0.075 0.383  0.07
O24 0.269 0.376 0.798  0.03
O25 0.299 0.701 0.500  0.01
O26 0.075 0.860 0.617  0.07
O27 0.925 0.140 0.617  0.07
O28 0.574 0.640 0.615  0.08
O29 0.123 0.765 0.200  0.02
O30 0.140 0.925 0.383  0.07
O31 0.231 0.125 0.702  0.03
O32 0.235 0.877 0.800  0.02
O33 0.694 0.694 0.000  0.04
O34 0.143 0.073 0.114  0.07
O35 0.421 0.629 0.890  0.03
O36 0.731 0.624 0.798  0.03
O37 0.426 0.360 0.615  0.08
O38 0.798 0.202 0.000  0.02
O39 0.125 0.231 0.298  0.03
O40 0.927 0.857 0.886  0.07
Mn1 0.500 0.500 0.254  4.43
Mn2 0.000 0.000 0.750  4.45
Mn3 0.500 0.500 0.000  3.68
Mn4 0.000 0.000 0.250  4.45
Mn5 0.500 0.500 0.746  4.43
Cu1 0.000 0.000 0.500  0.48
Cu2 0.000 0.000 0.000  0.47
Cu3 0.500 0.500 0.500  0.50

=====

Entry 10:
This record from the Alexandria database describes Mn4ZnCu3O12 after structural relaxation. The functional is PBEsol.

Summary:
uncorrected formation energy = -25.1 eV per formula unit

Unit cell a=6.152 b=6.152 c=6.152 alpha=109.47 beta=109.47 gamma=109.47
Each line ends with the local moment (μB).
Positions (direct):
O1 0.822 0.699 0.522  0.00
O2 0.478 0.178 0.301  0.00
O3 0.301 0.123 0.822  0.00
O4 0.178 0.301 0.478  0.00
O5 0.522 0.822 0.699  0.00
O6 0.877 0.178 0.699  0.00
O7 0.699 0.877 0.178  0.00
O8 0.699 0.522 0.822  0.00
O9 0.822 0.301 0.123  0.00
O10 0.123 0.822 0.301  0.00
O11 0.301 0.478 0.178  0.00
O12 0.178 0.699 0.877  0.00
Mn1 0.500 0.500 0.500  2.42
Mn2 0.000 0.000 0.500  2.42
Mn3 0.500 0.000 0.000  2.42
Mn4 0.000 0.500 0.000  2.42
Cu1 0.500 0.500 0.000  -0.37
Cu2 0.000 0.500 0.500  -0.37
Cu3 0.500 0.000 0.500  -0.37
Zn1 0.000 0.000 0.000  0.04

=====

Entry 11:
This record from the Alexandria database describes MnCu2Os after structural relaxation. The functional is PBEsol.

Summary:
energy relative to the elements = 0.3388 eV per atom

Unit cell a=2.751 b=4.201 c=4.301 alpha=90.00 beta=90.00 gamma=90.00
Each line ends with the local moment (μB).
Positions (direct):
Cu1 0.500 0.500 0.000  0.03
Cu2 0.000 0.000 0.000  0.11
Mn1 0.500 0.000 0.500  2.85
Os1 0.000 0.500 0.500  -0.01

=====

Entry 12:
This record from the Alexandria database describes MnCuOs2 after structural relaxation. The functional is PBEsol.

Summary:
energy relative to the elements = 0.2655 eV per atom

Unit cell a=2.679 b=4.457 c=4.598 alpha=99.97 beta=106.93 gamma=90.00
Each line ends with the local moment (μB).
Positions (direct):
Mn1 0.749 0.263 0.497  2.44
Os1 0.252 0.762 0.505  -0.08
Os2 0.000 0.988 0.999  0.00
Cu1 0.499 0.487 0.998  0.05

=====

Entry 13:
This record from the Alexandria database describes MnCu2Os after structural relaxation. The functional is PBEsol.

Summary:
energy relative to the elements = 0.3711 eV per atom

Unit cell a=2.597 b=2.597 c=8.638 alpha=81.35 beta=81.35 gamma=60.00
Each line ends with the local moment (μB).
Positions (direct):
Os1 0.000 0.000 0.000  -0.05
Cu1 0.752 0.752 0.744  0.04
Cu2 0.248 0.248 0.256  0.04
Mn1 0.500 0.500 0.500  2.41